Entry 1:
Crystalline NdDy4Er2Th at its relaxed geometry. Source: Alexandria, functional PBE.

Computed properties:
**Space group**: Pmmm, No. 47
**VASP energy**: -39.47 eV/cell

Lattice parameters (Å, degrees): 5.033 5.048 10.031 90.00 90.00 90.00
Fractional positions:
Nd 0.000 0.000 0.000
Dy 0.000 0.500 0.253
Dy 0.000 0.500 0.747
Dy 0.500 0.000 0.254
Dy 0.500 0.000 0.746
Er 0.000 0.000 0.500
Er 0.500 0.500 0.000
Th 0.500 0.500 0.500


Entry 2:
Crystalline Nd2DyErTh at its relaxed geometry. Source: Alexandria, functional PBE.

Computed properties:
**Space group**: P2/c, No. 13
**VASP energy**: -49.14 eV/cell

Lattice parameters (Å, degrees): 8.510 6.370 6.394 90.00 90.65 90.00
Fractional positions:
Nd 0.190 0.211 0.254
Nd 0.190 0.789 0.754
Nd 0.810 0.211 0.246
Nd 0.810 0.789 0.746
Dy 0.500 0.500 0.000
Dy 0.500 0.500 0.500
Er 0.000 0.310 0.750
Er 0.000 0.690 0.250
Th 0.500 0.054 0.750
Th 0.500 0.946 0.250


Entry 3:
Crystalline Nd2Dy2Er2Th at its relaxed geometry. Source: Alexandria, functional PBE.

Computed properties:
**Space group**: C2/m, No. 12
**VASP energy**: -34.43 eV/cell

Lattice parameters (Å, degrees): 9.043 9.043 8.331 115.74 115.74 22.50
Fractional positions:
Nd 0.142 0.142 0.384
Nd 0.858 0.858 0.616
Dy 0.071 0.071 0.898
Dy 0.929 0.929 0.102
Er 0.289 0.289 0.204
Er 0.711 0.711 0.796
Th 0.500 0.500 0.500


| no. | ρ (Mg/m³) | ΔH_f (0 K) (eV per atom) |
| --- | --- | --- |
| 1 | 8.87 | 0.032 |
| 2 | 8.15 | 0.311 |
| 3 | 8.38 | 0.122 |